# 1
Below is a relaxed structure of RbBiPd3, with properties calculated at the PBE-GGA level.

Results
Its energy above the most stable polymorph in this dataset is 317 meV/atom.

CIF file:
```
data_RbBiPd3
_space_group_name_H-M_alt 'P m -3 m'
_space_group_IT_number 221
_space_group_name_Hall '-P 4 2 3'
_cell_length_a 5.253
_cell_length_b 5.253
_cell_length_c 5.253
_cell_angle_alpha 90.00
_cell_angle_beta 90.00
_cell_angle_gamma 90.00
loop_
_atom_site_label
_atom_site_type_symbol
_atom_site_fract_x
_atom_site_fract_y
_atom_site_fract_z
Rb1 Rb 0.000 0.000 0.000
Bi1 Bi 0.500 0.500 0.500
Pd1 Pd 0.000 0.500 0.500
```

***

# 2
Below is a relaxed structure of RbBiPd3, with properties calculated at the PBE-GGA level.

Results
Its energy above the most stable polymorph in this dataset is 0 meV/atom.

CIF file:
```
data_RbBiPd3
_space_group_name_H-M_alt 'P 1 21/m 1'
_space_group_IT_number 11
_cell_length_a 6.493
_cell_length_b 6.409
_cell_length_c 6.599
_cell_angle_alpha 90.00
_cell_angle_beta 118.87
_cell_angle_gamma 90.00
loop_
_space_group_symop_operation_xyz
'x,y,z'
'-x,-y,-z'
'-x,y+1/2,-z'
'x,-y+1/2,z'
loop_
_atom_site_label
_atom_site_type_symbol
_atom_site_fract_x
_atom_site_fract_y
_atom_site_fract_z
Rb1 Rb 0.246 0.250 0.252
Bi1 Bi 0.092 0.750 0.396
Pd1 Pd 0.290 0.511 0.791
Pd2 Pd 0.349 0.750 0.167
```

***

# 3
Below is a relaxed structure of RbBiPd, with properties calculated at the PBE-GGA level.

Results
Its energy above the most stable polymorph in this dataset is 121 meV/atom.

CIF file:
```
data_RbBiPd
_space_group_name_H-M_alt 'P 1'
_space_group_IT_number 1
_cell_length_a 4.673
_cell_length_b 4.673
_cell_length_c 12.662
_cell_angle_alpha 79.64
_cell_angle_beta 89.96
_cell_angle_gamma 60.00
loop_
_space_group_symop_operation_xyz
'x,y,z'
loop_
_atom_site_label
_atom_site_type_symbol
_atom_site_fract_x
_atom_site_fract_y
_atom_site_fract_z
Rb1 Rb 0.000 0.000 0.000
Rb2 Rb 0.464 0.075 0.370
Bi1 Bi 0.195 0.612 0.569
Bi2 Bi 0.596 0.807 0.782
Pd1 Pd 0.265 0.471 0.787
Pd2 Pd 0.890 0.222 0.657
```

***

# 4
Below is a relaxed structure of Rb2Bi4Pd3, with properties calculated at the PBE-GGA level.

CIF file:
```
data_Rb2Bi4Pd3
_space_group_name_H-M_alt 'F m m m'
_space_group_IT_number 69
_space_group_name_Hall '-F 2 2'
_cell_length_a 6.538
_cell_length_b 11.439
_cell_length_c 14.521
_cell_angle_alpha 90.00
_cell_angle_beta 90.00
_cell_angle_gamma 90.00
loop_
_atom_site_label
_atom_site_type_symbol
_atom_site_fract_x
_atom_site_fract_y
_atom_site_fract_z
Rb1 Rb 0.000 0.000 0.128
Bi1 Bi 0.000 0.169 0.360
Pd1 Pd 0.000 0.000 0.500
Pd2 Pd 0.250 0.250 0.000
```

***

# 5
Below is a relaxed structure of Rb3Bi4Pd2, with properties calculated at the PBE-GGA level.

Results
Its energy above the most stable polymorph in this dataset is 40 meV/atom.

CIF file:
```
data_Rb3Bi4Pd2
_space_group_name_H-M_alt 'C 1 2/c 1'
_space_group_IT_number 15
_cell_length_a 17.435
_cell_length_b 11.533
_cell_length_c 7.323
_cell_angle_alpha 90.00
_cell_angle_beta 110.72
_cell_angle_gamma 90.00
loop_
_space_group_symop_operation_xyz
'x,y,z'
'-x,-y,-z'
'-x,y,-z+1/2'
'x,-y,z+1/2'
'x+1/2,y+1/2,z'
'-x+1/2,-y+1/2,-z'
'-x+1/2,y+1/2,-z+1/2'
'x+1/2,-y+1/2,z+1/2'
loop_
_atom_site_label
_atom_site_type_symbol
_atom_site_fract_x
_atom_site_fract_y
_atom_site_fract_z
Rb1 Rb 0.000 0.087 0.250
Rb2 Rb 0.124 0.390 0.123
Bi1 Bi 0.157 0.261 0.676
Bi2 Bi 0.189 0.078 0.040
Pd1 Pd 0.218 0.139 0.433
```

***

# 6
Below is a relaxed structure of RbBi4Pd, with properties calculated at the PBE-GGA level.

CIF file:
```
data_RbBi4Pd
_space_group_name_H-M_alt 'C 1 2/m 1'
_space_group_IT_number 12
_cell_length_a 18.603
_cell_length_b 7.110
_cell_length_c 7.029
_cell_angle_alpha 90.00
_cell_angle_beta 101.94
_cell_angle_gamma 90.00
loop_
_space_group_symop_operation_xyz
'x,y,z'
'-x,-y,-z'
'-x,y,-z'
'x,-y,z'
'x+1/2,y+1/2,z'
'-x+1/2,-y+1/2,-z'
'-x+1/2,y+1/2,-z'
'x+1/2,-y+1/2,z'
loop_
_atom_site_label
_atom_site_type_symbol
_atom_site_fract_x
_atom_site_fract_y
_atom_site_fract_z
Rb1 Rb 0.197 0.000 0.168
Bi1 Bi 0.000 0.258 0.000
Bi2 Bi 0.106 0.282 0.632
Bi3 Bi 0.162 0.500 0.274
Pd1 Pd 0.019 0.500 0.320
```

***

# 7
Below is a relaxed structure of RbBi6Pd12, with properties calculated at the PBE-GGA level.

CIF file:
```
data_RbBi6Pd12
_space_group_name_H-M_alt 'R -3 m'
_space_group_IT_number 166
_space_group_name_Hall '-R 3 2"'
_cell_length_a 12.3720
_cell_length_b 12.3720
_cell_length_c 9.7564
_cell_angle_alpha 90.00
_cell_angle_beta 90.00
_cell_angle_gamma 120.00
loop_
_atom_site_label
_atom_site_type_symbol
_atom_site_fract_x
_atom_site_fract_y
_atom_site_fract_z
Rb1 Rb 0.0000 0.0000 0.0000
Bi1 Bi 0.0555 0.5277 0.2675
Pd1 Pd 0.0000 0.3822 0.5000
Pd2 Pd 0.1010 0.2019 0.3138
```

***

# 8
Below is a relaxed structure of Rb2BiPd2, with properties calculated at the PBE-GGA level.

Results
Its energy above the most stable polymorph in this dataset is 537 meV/atom.

CIF file:
```
data_Rb2BiPd2
_space_group_name_H-M_alt 'I 4/m m m'
_space_group_IT_number 139
_space_group_name_Hall '-I 4 2'
_cell_length_a 4.629
_cell_length_b 4.629
_cell_length_c 13.875
_cell_angle_alpha 90.00
_cell_angle_beta 90.00
_cell_angle_gamma 90.00
loop_
_atom_site_label
_atom_site_type_symbol
_atom_site_fract_x
_atom_site_fract_y
_atom_site_fract_z
Rb1 Rb 0.000 0.500 0.250
Bi1 Bi 0.000 0.000 0.000
Pd1 Pd 0.000 0.000 0.408
```

***

# 9
Below is a relaxed structure of RbBiPd4, with properties calculated at the PBE-GGA level.

CIF file:
```
data_RbBiPd4
_space_group_name_H-M_alt 'F -4 3 m'
_space_group_IT_number 216
_space_group_name_Hall 'F -4 2 3'
_cell_length_a 7.883
_cell_length_b 7.883
_cell_length_c 7.883
_cell_angle_alpha 90.00
_cell_angle_beta 90.00
_cell_angle_gamma 90.00
loop_
_atom_site_label
_atom_site_type_symbol
_atom_site_fract_x
_atom_site_fract_y
_atom_site_fract_z
Rb1 Rb 0.000 0.000 0.000
Bi1 Bi 0.250 0.250 0.750
Pd1 Pd 0.124 0.124 0.376
```

***

# 10
Below is a relaxed structure of RbBi3Pd2, with properties calculated at the PBE-GGA level.

CIF file:
```
data_RbBi3Pd2
_space_group_name_H-M_alt 'C m c m'
_space_group_IT_number 63
_space_group_name_Hall '-C 2c 2'
_cell_length_a 13.705
_cell_length_b 8.682
_cell_length_c 5.957
_cell_angle_alpha 90.00
_cell_angle_beta 90.00
_cell_angle_gamma 90.00
loop_
_atom_site_label
_atom_site_type_symbol
_atom_site_fract_x
_atom_site_fract_y
_atom_site_fract_z
Rb1 Rb 0.000 0.147 0.250
Bi1 Bi 0.000 0.414 0.750
Bi2 Bi 0.201 0.204 0.750
Pd1 Pd 0.176 0.500 0.000
```

***

# 11
Below is a relaxed structure of Rb3BiPd, with properties calculated at the PBE-GGA level.

Results
Its energy above the most stable polymorph in this dataset is 0 meV/atom.

CIF file:
```
data_Rb3BiPd
_space_group_name_H-M_alt 'P m -3 m'
_space_group_IT_number 221
_space_group_name_Hall '-P 4 2 3'
_cell_length_a 6.303
_cell_length_b 6.303
_cell_length_c 6.303
_cell_angle_alpha 90.00
_cell_angle_beta 90.00
_cell_angle_gamma 90.00
loop_
_atom_site_label
_atom_site_type_symbol
_atom_site_fract_x
_atom_site_fract_y
_atom_site_fract_z
Rb1 Rb 0.000 0.000 0.500
Bi1 Bi 0.500 0.500 0.500
Pd1 Pd 0.000 0.000 0.000
```

***

# 12
Below is a relaxed structure of RbBiPd3, with properties calculated at the PBE-GGA level.

Results
Its energy above the most stable polymorph in this dataset is 1317 meV/atom.

CIF file:
```
data_RbBiPd3
_space_group_name_H-M_alt 'P m -3 m'
_space_group_IT_number 221
_space_group_name_Hall '-P 4 2 3'
_cell_length_a 5.139
_cell_length_b 5.139
_cell_length_c 5.139
_cell_angle_alpha 90.00
_cell_angle_beta 90.00
_cell_angle_gamma 90.00
loop_
_atom_site_label
_atom_site_type_symbol
_atom_site_fract_x
_atom_site_fract_y
_atom_site_fract_z
Rb1 Rb 0.000 0.000 0.000
Bi1 Bi 0.500 0.500 0.500
Pd1 Pd 0.000 0.000 0.500
```

***

# 13
Below is a relaxed structure of RbBiPd, with properties calculated at the PBE-GGA level.

Results
Its energy above the most stable polymorph in this dataset is 144 meV/atom.

CIF file:
```
data_RbBiPd
_space_group_name_H-M_alt 'P -6 m 2'
_space_group_IT_number 187
_space_group_name_Hall 'P -6 2'
_cell_length_a 4.6657
_cell_length_b 4.6657
_cell_length_c 5.7476
_cell_angle_alpha 90.00
_cell_angle_beta 90.00
_cell_angle_gamma 120.00
loop_
_atom_site_label
_atom_site_type_symbol
_atom_site_fract_x
_atom_site_fract_y
_atom_site_fract_z
Rb1 Rb 0.0000 0.0000 0.0000
Bi1 Bi 0.3333 0.6667 0.5000
Pd1 Pd 0.6667 0.3333 0.5000
```

***

# 14
Below is a relaxed structure of RbBi12Pd4, with properties calculated at the PBE-GGA level.

CIF file:
```
data_RbBi12Pd4
_space_group_name_H-M_alt 'I m -3'
_space_group_IT_number 204
_space_group_name_Hall '-I 2 2 3'
_cell_length_a 10.039
_cell_length_b 10.039
_cell_length_c 10.039
_cell_angle_alpha 90.00
_cell_angle_beta 90.00
_cell_angle_gamma 90.00
loop_
_atom_site_label
_atom_site_type_symbol
_atom_site_fract_x
_atom_site_fract_y
_atom_site_fract_z
Rb1 Rb 0.000 0.000 0.000
Bi1 Bi 0.000 0.160 0.344
Pd1 Pd 0.250 0.250 0.250
```

***

# 15
Below is a relaxed structure of RbBiPd, with properties calculated at the PBE-GGA level.

Results
Its energy above the most stable polymorph in this dataset is 0 meV/atom.

CIF file:
```
data_RbBiPd
_space_group_name_H-M_alt 'P -1'
_space_group_IT_number 2
_cell_length_a 4.990
_cell_length_b 5.323
_cell_length_c 7.949
_cell_angle_alpha 93.36
_cell_angle_beta 90.11
_cell_angle_gamma 90.04
loop_
_space_group_symop_operation_xyz
'x,y,z'
'-x,-y,-z'
loop_
_atom_site_label
_atom_site_type_symbol
_atom_site_fract_x
_atom_site_fract_y
_atom_site_fract_z
Rb1 Rb 0.250 0.241 0.343
Bi1 Bi 0.251 0.325 0.883
Pd1 Pd 0.249 0.842 0.002
```

***

# 16
Below is a relaxed structure of RbBiPd2, with properties calculated at the PBE-GGA level.

CIF file:
```
data_RbBiPd2
_space_group_name_H-M_alt 'R -3 m'
_space_group_IT_number 166
_space_group_name_Hall '-R 3 2"'
_cell_length_a 4.7633
_cell_length_b 4.7633
_cell_length_c 18.6557
_cell_angle_alpha 90.00
_cell_angle_beta 90.00
_cell_angle_gamma 120.00
loop_
_atom_site_label
_atom_site_type_symbol
_atom_site_fract_x
_atom_site_fract_y
_atom_site_fract_z
Rb1 Rb 0.0000 0.0000 0.0000
Bi1 Bi 0.0000 0.0000 0.5000
Pd1 Pd 0.0000 0.0000 0.1862
```

***

# 17
Below is a relaxed structure of RbBi2Pd3, with properties calculated at the PBE-GGA level.

CIF file:
```
data_RbBi2Pd3
_space_group_name_H-M_alt 'C 1 2/m 1'
_space_group_IT_number 12
_cell_length_a 18.175
_cell_length_b 4.700
_cell_length_c 8.453
_cell_angle_alpha 90.00
_cell_angle_beta 115.17
_cell_angle_gamma 90.00
loop_
_space_group_symop_operation_xyz
'x,y,z'
'-x,-y,-z'
'-x,y,-z'
'x,-y,z'
'x+1/2,y+1/2,z'
'-x+1/2,-y+1/2,-z'
'-x+1/2,y+1/2,-z'
'x+1/2,-y+1/2,z'
loop_
_atom_site_label
_atom_site_type_symbol
_atom_site_fract_x
_atom_site_fract_y
_atom_site_fract_z
Rb1 Rb 0.158 0.000 0.079
Bi1 Bi 0.031 0.500 0.220
Bi2 Bi 0.166 0.000 0.610
Pd1 Pd 0.006 0.000 0.346
Pd2 Pd 0.084 0.500 0.624
Pd3 Pd 0.196 0.500 0.459
```

***

# 18
Below is a relaxed structure of RbBiPd2, with properties calculated at the PBE-GGA level.

CIF file:
```
data_RbBiPd2
_space_group_name_H-M_alt 'I -4 2 d'
_space_group_IT_number 122
_space_group_name_Hall 'I -4 2bw'
_cell_length_a 8.197
_cell_length_b 8.197
_cell_length_c 7.591
_cell_angle_alpha 90.00
_cell_angle_beta 90.00
_cell_angle_gamma 90.00
loop_
_atom_site_label
_atom_site_type_symbol
_atom_site_fract_x
_atom_site_fract_y
_atom_site_fract_z
Rb1 Rb 0.000 0.000 0.000
Bi1 Bi 0.000 0.000 0.500
Pd1 Pd 0.170 0.250 0.625
```

***

# 19
Below is a relaxed structure of Rb3Bi4Pd2, with properties calculated at the PBE-GGA level.

Results
Its energy above the most stable polymorph in this dataset is 0 meV/atom.

CIF file:
```
data_Rb3Bi4Pd2
_space_group_name_H-M_alt 'C 1 2/m 1'
_space_group_IT_number 12
_cell_length_a 14.311
_cell_length_b 4.546
_cell_length_c 10.522
_cell_angle_alpha 90.00
_cell_angle_beta 102.63
_cell_angle_gamma 90.00
loop_
_space_group_symop_operation_xyz
'x,y,z'
'-x,-y,-z'
'-x,y,-z'
'x,-y,z'
'x+1/2,y+1/2,z'
'-x+1/2,-y+1/2,-z'
'-x+1/2,y+1/2,-z'
'x+1/2,-y+1/2,z'
loop_
_atom_site_label
_atom_site_type_symbol
_atom_site_fract_x
_atom_site_fract_y
_atom_site_fract_z
Rb1 Rb 0.000 0.000 0.000
Rb2 Rb 0.128 0.500 0.401
Bi1 Bi 0.090 0.000 0.674
Bi2 Bi 0.220 0.500 0.098
Pd1 Pd 0.165 0.500 0.821
```

***

# 20
Below is a relaxed structure of RbBiPd, with properties calculated at the PBE-GGA level.

Results
Its energy above the most stable polymorph in this dataset is 74 meV/atom.

CIF file:
```
data_RbBiPd
_space_group_name_H-M_alt 'I 4 m m'
_space_group_IT_number 107
_space_group_name_Hall 'I 4 -2'
_cell_length_a 3.823
_cell_length_b 3.823
_cell_length_c 13.056
_cell_angle_alpha 90.00
_cell_angle_beta 90.00
_cell_angle_gamma 90.00
loop_
_atom_site_label
_atom_site_type_symbol
_atom_site_fract_x
_atom_site_fract_y
_atom_site_fract_z
Rb1 Rb 0.000 0.000 0.000
Bi1 Bi 0.000 0.000 0.720
Pd1 Pd 0.000 0.000 0.287
```

***

# 21
Below is a relaxed structure of RbBi3Pd3, with properties calculated at the PBE-GGA level.

Results
Its energy above the most stable polymorph in this dataset is 0 meV/atom.

CIF file:
```
data_RbBi3Pd3
_space_group_name_H-M_alt 'R -3'
_space_group_IT_number 148
_space_group_name_Hall '-R 3'
_cell_length_a 7.7304
_cell_length_b 7.7304
_cell_length_c 26.2048
_cell_angle_alpha 90.00
_cell_angle_beta 90.00
_cell_angle_gamma 120.00
loop_
_atom_site_label
_atom_site_type_symbol
_atom_site_fract_x
_atom_site_fract_y
_atom_site_fract_z
Rb1 Rb 0.0000 0.0000 0.1574
Bi1 Bi 0.0121 0.3906 0.0638
Pd1 Pd 0.0069 0.2843 0.9631
```

***

# 22
Below is a relaxed structure of RbBiPd, with properties calculated at the PBE-GGA level.

Results
Its energy above the most stable polymorph in this dataset is 12 meV/atom.

CIF file:
```
data_RbBiPd
_space_group_name_H-M_alt 'P 1 21/c 1'
_space_group_IT_number 14
_cell_length_a 7.259
_cell_length_b 7.417
_cell_length_c 8.670
_cell_angle_alpha 90.00
_cell_angle_beta 120.15
_cell_angle_gamma 90.00
loop_
_space_group_symop_operation_xyz
'x,y,z'
'-x,-y,-z'
'-x,y+1/2,-z+1/2'
'x,-y+1/2,z+1/2'
loop_
_atom_site_label
_atom_site_type_symbol
_atom_site_fract_x
_atom_site_fract_y
_atom_site_fract_z
Rb1 Rb 0.194 0.125 0.412
Bi1 Bi 0.275 0.622 0.580
Pd1 Pd 0.404 0.615 0.337
```

***

# 23
Below is a relaxed structure of Rb3Bi3Pd2, with properties calculated at the PBE-GGA level.

CIF file:
```
data_Rb3Bi3Pd2
_space_group_name_H-M_alt 'C m c m'
_space_group_IT_number 63
_space_group_name_Hall '-C 2c 2'
_cell_length_a 4.876
_cell_length_b 13.383
_cell_length_c 17.851
_cell_angle_alpha 90.00
_cell_angle_beta 90.00
_cell_angle_gamma 90.00
loop_
_atom_site_label
_atom_site_type_symbol
_atom_site_fract_x
_atom_site_fract_y
_atom_site_fract_z
Rb1 Rb 0.000 0.037 0.108
Rb2 Rb 0.000 0.360 0.250
Bi1 Bi 0.000 0.309 0.046
Bi2 Bi 0.000 0.339 0.750
Pd1 Pd 0.000 0.262 0.606
```

***

In eV/cell, the calculated total energy values for the records above are, in order, -19.4 -41.9 -21.4 -142.6 -125.6 -90.1 -267.2 -27.9 -101.9 -98.3 -11.1 -14.4 -10.6 -143.8 -22.1 -48.7 -104.0 -58.9 -63.5 -21.6 -176.7 -44.0 -108.9.